Computed, not measured: crystalline Sr3Ga6Pd5 at its relaxed geometry at the PBE-GGA level of DFT.

Cell: 4.350 13.130 9.913 Å, 90.00 90.00 90.00°
Positions (direct):
Sr1 0.250 0.065 0.249
Sr2 0.250 0.435 0.249
Sr3 0.250 0.750 0.262
Sr4 0.750 0.250 0.738
Sr5 0.750 0.565 0.751
Sr6 0.750 0.935 0.751
Ga1 0.250 0.065 0.588
Ga2 0.250 0.250 0.023
Ga3 0.250 0.250 0.453
Ga4 0.250 0.435 0.588
Ga5 0.250 0.596 0.988
Ga6 0.250 0.904 0.988
Ga7 0.750 0.096 0.012
Ga8 0.750 0.404 0.012
Ga9 0.750 0.565 0.412
Ga10 0.750 0.750 0.547
Ga11 0.750 0.750 0.977
Ga12 0.750 0.935 0.412
Pd1 0.250 0.088 0.869
Pd2 0.250 0.412 0.869
Pd3 0.250 0.638 0.539
Pd4 0.250 0.750 0.810
Pd5 0.250 0.862 0.539
Pd6 0.750 0.138 0.461
Pd7 0.750 0.250 0.190
Pd8 0.750 0.362 0.461
Pd9 0.750 0.588 0.131
Pd10 0.750 0.912 0.131

Spin magnetization = 0.00 μB/atom
ΔE_f = -0.65 eV/atom
Crystal system = orthorhombic
E_tot = -4.17 eV per atom